[1]
First-principles (GGA-PBE) data for a geometry-optimized BaSr2AlAg structure, as listed in Alexandria.

a b c (Å): 6.1585 6.1585 5.1759
angles (deg): 90.00 90.00 90.00
Sites, in units of the cell vectors:
Ba (0.0000, 0.0000, 0.0000)
Sr (0.0000, 0.5000, 0.5000)
Sr (0.5000, 0.0000, 0.5000)
Al (0.5000, 0.5000, 0.0000)
Ag (0.5000, 0.5000, 0.5000)

Calculated values
Energy (eV per atom): -2.385
Space group: P4/mmm (123)
V (Å³ per cell): 196.31
Formation enthalpy at 0 K (eV/atom): -0.009

---

[2]
First-principles (GGA-PBE) data for a geometry-optimized BaAlAg2Te4 structure, as listed in Alexandria.

a b c (Å): 7.6847 7.6847 8.8474
angles (deg): 90.00 90.00 90.00
Sites, in units of the cell vectors:
Ba (0.0000, 0.0000, 0.0000)
Ba (0.5000, 0.5000, 0.5000)
Al (0.0000, 0.0000, 0.5000)
Al (0.5000, 0.5000, 0.0000)
Ag (0.0000, 0.5000, 0.2493)
Ag (0.0000, 0.5000, 0.7507)
Ag (0.5000, 0.0000, 0.2507)
Ag (0.5000, 0.0000, 0.7493)
Te (0.2000, 0.2000, 0.3310)
Te (0.2000, 0.8000, 0.6690)
Te (0.3000, 0.3000, 0.8310)
Te (0.3000, 0.7000, 0.1690)
Te (0.7000, 0.3000, 0.1690)
Te (0.7000, 0.7000, 0.8310)
Te (0.8000, 0.2000, 0.6690)
Te (0.8000, 0.8000, 0.3310)

Calculated values
E_form (uncorrected) (eV/atom): -0.607
Energy (eV per atom): -3.599
Space group: I222 (23)
V (Å³ per cell): 522.49

---

[3]
First-principles (GGA-PBE) data for a geometry-optimized Ba2AlAgTe structure, as listed in Alexandria.

a b c (Å): 6.2909 6.2909 5.4035
angles (deg): 90.00 90.00 90.00
Sites, in units of the cell vectors:
Ba (0.0000, 0.5000, 0.0000)
Ba (0.5000, 0.0000, 0.0000)
Al (0.0000, 0.0000, 0.5000)
Ag (0.5000, 0.5000, 0.0000)
Te (0.5000, 0.5000, 0.5000)

Calculated values
E_form (uncorrected) (eV/atom): -0.014
Energy (eV per atom): -2.730
Space group: P4/mmm (123)
V (Å³ per cell): 213.84